one) SrTm2Rh after structural relaxation, computed with PBE.

The space group is R-3m (No. 166, hexagonal axes) and the conventional cell measures 3.9483, 3.9483 and 31.9226 Å, with angles of 90.00, 90.00 and 120.00 degrees. The inequivalent atoms are Sr at (0.0000, 0.0000, 0.0000), Tm at (0.0000, 0.0000, 0.1209) and Rh at (0.0000, 0.0000, 0.5000).

For the density of states at the Fermi level, the calculation gives 10.724 states/eV/cell. The value obtained for the total magnetization is 0.00 μB per cell.

---

two) SrTm2Rh after structural relaxation, computed with PBE.

The space group is P4/mmm (No. 123) and the conventional cell measures 3.505, 3.505 and 9.514 Å, with angles of 90.00, 90.00 and 90.00 degrees. The inequivalent atoms are Sr at (0.000, 0.000, 0.000), Tm at (0.500, 0.500, 0.335) and Rh at (0.000, 0.000, 0.500).

For the density of states at the Fermi level, the calculation gives 4.795 states/eV/cell. The value obtained for the total magnetization is 0.00 μB per cell.

---

Ordering by calculated energy gives the sequence two), one), with the first entry being the most stable.